(1)
First-principles (PBE) data for CaBeMo2 after structural relaxation, as listed in the Alexandria database.

abc: 3.217 3.217 6.910
angles: 90.00 90.00 90.00
Space group P4mm (No. 99)
Unique sites:
Ca 0.000 0.000 0.000
Be 0.500 0.500 0.688
Mo 0.000 0.000 0.527
Mo 0.500 0.500 0.334

Magnetic moment   0.001 Bohr magnetons per cell
Calculated formation energy   30.4 kJ per mole of atoms
Volume   72 Å³/f.u.
Raw total energy   -6.53 eV per atom
ρ   5594 kg/m3



(2)
First-principles (PBE) data for Ca3BeMo after structural relaxation, as listed in the Alexandria database.

abc: 5.448 5.448 5.448
angles: 90.00 90.00 90.00
Space group Pm-3m (No. 221)
Unique sites:
Ca 0.000 0.000 0.500
Be 0.000 0.000 0.000
Mo 0.500 0.500 0.500

Magnetic moment   3.883 Bohr magnetons per cell
Calculated formation energy   97.1 kJ per mole of atoms
Volume   162 Å³/f.u.
Raw total energy   -3.11 eV per atom
ρ   2312 kg/m3



(3)
First-principles (PBE) data for CaBeMo2 after structural relaxation, as listed in the Alexandria database.

abc: 3.746 4.004 8.690
angles: 90.00 90.00 90.00
Space group Cmmm (No. 65)
Unique sites:
Ca 0.000 0.000 0.000
Be 0.000 0.000 0.500
Mo 0.000 0.500 0.309

Magnetic moment   0.000 Bohr magnetons per cell
Calculated formation energy   48.5 kJ per mole of atoms
Volume   65 Å³/f.u.
Raw total energy   -6.34 eV per atom
ρ   6139 kg/m3



(4)
First-principles (PBE) data for Ca2BeMo after structural relaxation, as listed in the Alexandria database.

abc: 3.1803 3.1803 29.9306
angles: 90.00 90.00 120.00
Space group R-3m (No. 166, hexagonal axes)
Unique sites:
Ca 0.0000 0.0000 0.2481
Be 0.0000 0.0000 0.5000
Mo 0.0000 0.0000 0.0000

Magnetic moment   0.639 Bohr magnetons per cell
Calculated formation energy   94.5 kJ per mole of atoms
Volume   87 Å³/f.u.
Raw total energy   -3.66 eV per atom
ρ   3517 kg/m3



(5)
First-principles (PBE) data for Ca2BeMo after structural relaxation, as listed in the Alexandria database.

abc: 3.055 4.646 5.986
angles: 90.00 90.57 90.00
Space group P2/m (No. 10)
Unique sites:
Ca 0.004 0.000 0.251
Be 0.500 0.500 0.500
Mo 0.500 0.500 0.000

Magnetic moment   0.000 Bohr magnetons per cell
Calculated formation energy   83.8 kJ per mole of atoms
Volume   85 Å³/f.u.
Raw total energy   -3.77 eV per atom
ρ   3618 kg/m3



(6)
First-principles (PBE) data for CaBeMo2 after structural relaxation, as listed in the Alexandria database.

abc: 2.8679 2.8679 28.0395
angles: 90.00 90.00 120.00
Space group R-3m (No. 166, hexagonal axes)
Unique sites:
Ca 0.0000 0.0000 0.0000
Be 0.0000 0.0000 0.5000
Mo 0.0000 0.0000 0.2367

Magnetic moment   0.002 Bohr magnetons per cell
Calculated formation energy   78.3 kJ per mole of atoms
Volume   67 Å³/f.u.
Raw total energy   -6.04 eV per atom
ρ   6010 kg/m3



(7)
First-principles (PBE) data for Ca2BeMo after structural relaxation, as listed in the Alexandria database.

abc: 7.000 7.000 7.000
angles: 90.00 90.00 90.00
Space group F-43m (No. 216)
Unique sites:
Ca 0.000 0.000 0.000
Ca 0.250 0.250 0.250
Be 0.250 0.250 0.750
Mo 0.000 0.000 0.500

Magnetic moment   8.166 Bohr magnetons per cell
Calculated formation energy   84.7 kJ per mole of atoms
Volume   86 Å³/f.u.
Raw total energy   -3.76 eV per atom
ρ   3585 kg/m3



(8)
First-principles (PBE) data for CaBeMo2 after structural relaxation, as listed in the Alexandria database.

abc: 6.433 6.433 6.433
angles: 90.00 90.00 90.00
Space group F-43m (No. 216)
Unique sites:
Ca 0.000 0.000 0.000
Be 0.250 0.250 0.750
Mo 0.000 0.000 0.500
Mo 0.250 0.250 0.250

Magnetic moment   0.002 Bohr magnetons per cell
Calculated formation energy   61.3 kJ per mole of atoms
Volume   67 Å³/f.u.
Raw total energy   -6.21 eV per atom
ρ   6013 kg/m3



Copy entry 4 word for word.
First-principles (PBE) data for Ca2BeMo after structural relaxation, as listed in the Alexandria database.

abc: 3.1803 3.1803 29.9306
angles: 90.00 90.00 120.00
Space group R-3m (No. 166, hexagonal axes)
Unique sites:
Ca 0.0000 0.0000 0.2481
Be 0.0000 0.0000 0.5000
Mo 0.0000 0.0000 0.0000

Magnetic moment   0.639 Bohr magnetons per cell
Calculated formation energy   94.5 kJ per mole of atoms
Volume   87 Å³/f.u.
Raw total energy   -3.66 eV per atom
ρ   3517 kg/m3



Look up the ρ of the fourth one.
3517 kg/m3



Which value of ρ does entry 3 give?
6139 kg/m3